TmTh2Pt4 | PBE | relaxed

Structure (POSCAR):
```
TmTh2Pt4
1.0
-4.049 -1.052 -6.173
1.988 -6.532 2.999
-4.099 3.776 4.954
Tm Th Pt
2 4 8
Cartesian
-1.571 -3.274 3.183
-4.099 3.776 4.954
-3.071 -2.503 -0.513
-2.574 0.592 3.086
-5.866 0.062 0.832
-0.809 -5.765 0.155
-3.368 -4.766 1.454
-4.035 -1.887 2.274
-2.938 0.420 0.100
-4.044 -1.908 -3.329
-1.970 -1.361 5.334
-3.009 -5.173 -1.856
-0.312 -2.841 0.528
-4.964 2.287 2.614
```

* volume: 319.1 Å³ per cell
* density of states at the Fermi level: 4.00 states/eV/f.u.
* ΔE_f: -117.8 kJ/mol of atoms

***

TmThPt2 | PBE | relaxed

Structure (POSCAR):
```
TmThPt2
1.0
4.067 0.000 0.000
2.034 3.522 0.000
2.034 1.174 6.923
Tm Th Pt
1 1 2
Cartesian
4.067 2.348 3.527
6.101 3.522 6.872
2.034 1.174 5.127
2.034 1.174 1.781
```

* offset from the most stable computed form: 42 meV/atom
* volume: 99.2 Å³ per cell
* density of states at the Fermi level: 1.73 states/eV/f.u.
* ΔE_f: -115.1 kJ/mol of atoms

***

Tm2ThPt | PBE | relaxed

Structure (POSCAR):
```
Tm2ThPt
1.0
3.732 0.000 0.000
1.866 3.232 0.000
1.866 1.077 9.411
Tm Pt Th
2 1 1
Cartesian
1.866 1.077 1.760
5.599 3.232 7.651
0.000 0.000 0.000
3.732 2.155 4.706
```

* offset from the most stable computed form: 147 meV/atom
* volume: 113.5 Å³ per cell
* density of states at the Fermi level: 5.48 states/eV/f.u.
* ΔE_f: -46.9 kJ/mol of atoms

***

TmTh2Pt9 | PBE | relaxed

Structure (POSCAR):
```
TmTh2Pt9
1.0
-4.014 1.168 0.348
-1.211 -3.683 -1.603
-0.420 -4.881 11.532
Tm Th Pt
1 2 9
Cartesian
0.000 0.000 0.000
-0.138 -1.601 3.782
-0.282 -3.281 7.750
-2.613 -1.257 -0.627
-2.751 -2.873 3.190
-2.893 -4.523 7.087
-2.075 -0.203 2.032
-2.217 -1.857 5.940
-2.359 -3.511 9.848
-0.673 -2.628 1.057
-0.815 -4.282 4.964
-0.957 -5.936 8.872
```

* volume: 220.5 Å³ per cell
* density of states at the Fermi level: 2.19 states/eV/f.u.
* ΔE_f: -108.4 kJ/mol of atoms

***

TmThPt2 | PBE | relaxed

Structure (POSCAR):
```
TmThPt2
1.0
5.030 0.000 0.000
2.515 4.356 0.000
2.515 1.452 4.107
Tm Pt Th
1 2 1
Cartesian
5.030 2.904 2.053
2.515 1.452 1.027
7.544 4.356 3.080
0.000 0.000 0.000
```

* offset from the most stable computed form: 96 meV/atom
* volume: 90.0 Å³ per cell
* density of states at the Fermi level: 3.26 states/eV/f.u.
* ΔE_f: -109.9 kJ/mol of atoms

***

TmTh4Pt5 | PBE | relaxed

Structure (POSCAR):
```
TmTh4Pt5
1.0
-0.007 -2.432 5.373
2.811 -6.642 0.234
5.951 1.345 3.853
Tm Th Pt
1 4 5
Cartesian
0.000 -0.004 0.009
5.860 -2.544 5.335
5.826 -6.434 6.811
2.929 -1.299 2.658
2.895 -5.189 4.134
5.882 -3.748 8.027
5.843 -5.241 4.115
2.912 -2.493 5.355
2.873 -3.985 1.443
-0.003 -1.220 2.695
```

* volume: 255.8 Å³ per cell
* density of states at the Fermi level: 6.19 states/eV/f.u.
* ΔE_f: -116.2 kJ/mol of atoms

***

TmThPt2 | PBE | relaxed

Structure (POSCAR):
```
TmThPt2
1.0
-3.833 -1.266 -0.838
-1.113 -3.884 0.821
-3.595 0.133 6.103
Tm Pt Th
1 2 1
Cartesian
0.000 0.000 0.000
-6.420 -3.750 4.608
-2.121 -1.268 1.478
-4.271 -2.509 3.043
```

* offset from the most stable computed form: 0 meV/atom
* volume: 98.2 Å³ per cell
* density of states at the Fermi level: 1.94 states/eV/f.u.
* ΔE_f: -119.2 kJ/mol of atoms

***

Tm3ThPt2 | PBE | relaxed

Structure (POSCAR):
```
Tm3ThPt2
1.0
4.752 0.000 0.000
0.000 7.077 0.000
0.000 0.000 8.893
Tm Th Pt
6 2 4
Cartesian
0.000 3.461 8.189
0.000 6.999 0.704
2.376 4.565 1.422
2.376 1.026 7.471
0.000 2.550 2.840
0.000 6.088 6.053
2.376 3.585 5.174
2.376 0.046 3.719
2.376 5.234 7.516
2.376 1.696 1.377
0.000 1.836 5.851
0.000 5.374 3.042
```

* volume: 299.1 Å³ per cell
* density of states at the Fermi level: 5.15 states/eV/f.u.
* ΔE_f: -89.9 kJ/mol of atoms

***

Tm2ThPt | PBE | relaxed

Structure (POSCAR):
```
Tm2ThPt
1.0
-0.397 3.483 -0.051
-0.647 -0.124 -3.444
-8.181 -0.910 1.570
Tm Pt Th
2 1 1
Cartesian
-6.581 -0.732 1.263
-1.600 -0.178 0.307
-0.522 1.679 -1.747
-4.613 1.224 -0.962
```

* offset from the most stable computed form: 0 meV/atom
* volume: 103.0 Å³ per cell
* density of states at the Fermi level: 4.39 states/eV/f.u.
* ΔE_f: -61.0 kJ/mol of atoms

***

TmThPt2 | PBE | relaxed

Structure (POSCAR):
```
TmThPt2
1.0
3.491 0.000 0.000
0.000 5.265 0.556
0.000 -1.207 5.155
Tm Th Pt
1 1 2
Cartesian
1.745 2.133 2.782
0.000 -0.611 4.732
1.745 1.944 5.429
1.745 -0.429 2.089
```

* offset from the most stable computed form: 375 meV/atom
* volume: 97.1 Å³ per cell
* density of states at the Fermi level: 2.08 states/eV/f.u.
* ΔE_f: -82.9 kJ/mol of atoms

***

TmThPt | PBE | relaxed

Structure (POSCAR):
```
TmThPt
1.0
4.929 0.000 0.000
2.464 4.269 0.000
2.464 1.423 4.024
Tm Pt Th
1 1 1
Cartesian
0.000 0.000 0.000
2.464 1.423 1.006
4.929 2.846 2.012
```

* volume: 84.7 Å³ per cell
* density of states at the Fermi level: 3.42 states/eV/f.u.
* ΔE_f: -68.1 kJ/mol of atoms

***

TmTh3Pt12 | PBE | relaxed

Structure (POSCAR):
```
TmTh3Pt12
1.0
-2.601 -2.876 -1.616
3.164 -1.592 -2.260
3.736 -10.457 12.597
Tm Th Pt
1 3 12
Cartesian
0.000 0.000 0.000
0.911 -2.551 3.073
1.868 -5.228 6.299
2.825 -7.906 9.525
0.281 -2.234 -1.938
1.206 -4.821 1.179
2.149 -7.462 4.361
3.093 -10.104 7.543
-0.851 -2.696 0.707
0.094 -5.341 3.894
1.041 -7.992 7.087
1.986 -10.637 10.274
2.031 -2.054 0.385
2.977 -4.699 3.572
3.924 -7.350 6.765
4.869 -9.995 9.952
```

* volume: 296.4 Å³ per cell
* density of states at the Fermi level: 1.47 states/eV/f.u.
* ΔE_f: -108.1 kJ/mol of atoms

***

TmThPt2 | PBE | relaxed

Structure (POSCAR):
```
TmThPt2
1.0
3.554 0.000 0.000
0.000 5.016 0.000
0.000 0.000 5.016
Tm Pt Th
1 2 1
Cartesian
1.777 0.000 0.000
0.000 0.000 2.508
0.000 2.508 0.000
1.777 2.508 2.508
```

* offset from the most stable computed form: 95 meV/atom
* volume: 89.4 Å³ per cell
* density of states at the Fermi level: 2.79 states/eV/f.u.
* ΔE_f: -110.0 kJ/mol of atoms

***

TmTh3Pt3 | PBE | relaxed

Structure (POSCAR):
```
TmTh3Pt3
1.0
-3.656 0.588 1.697
-0.101 -11.844 3.888
6.387 4.008 12.373
Tm Th Pt
4 12 12
Cartesian
-1.619 -10.472 7.477
3.450 -3.166 10.977
4.248 3.225 10.481
-0.821 -4.082 6.980
2.313 -5.154 14.105
0.947 -7.588 7.116
0.316 -2.094 3.852
1.683 0.341 10.842
3.442 2.202 13.988
2.063 -1.756 7.498
-0.813 -9.450 3.970
0.567 -5.492 10.460
1.030 -8.415 12.471
-0.294 -5.911 3.860
1.599 1.167 5.487
2.924 -1.336 14.098
3.086 -6.977 16.403
1.759 -4.770 7.890
-0.457 -0.271 1.555
0.870 -2.478 10.068
-0.241 -8.368 9.716
4.807 -3.554 14.035
2.870 1.120 8.241
-2.178 -3.693 3.923
-1.776 -7.366 6.062
3.239 -6.503 11.678
4.405 0.119 11.896
-0.609 -0.744 6.280
```

* volume: 735.8 Å³ per cell
* density of states at the Fermi level: 6.40 states/eV/f.u.
* ΔE_f: -100.2 kJ/mol of atoms

***

TmTh2Pt3 | PBE | relaxed

Structure (POSCAR):
```
TmTh2Pt3
1.0
-2.776 -6.314 -1.891
6.103 -0.989 3.595
-8.081 3.242 9.932
Tm Th Pt
4 8 12
Cartesian
-3.687 -3.992 9.842
-1.224 -0.767 8.982
0.910 -0.631 5.396
-1.067 -0.068 1.793
-7.783 -3.564 9.801
-5.356 -0.341 8.999
-5.658 -3.429 6.230
-3.231 -0.206 5.429
-1.523 -3.854 6.206
-3.535 -3.294 2.662
0.602 -3.719 2.636
-1.410 -3.158 -0.909
-3.091 0.971 10.360
-7.588 -1.652 7.584
-5.148 1.572 6.761
-3.426 -2.119 7.646
-0.973 1.091 6.771
0.658 -2.489 7.607
-1.297 -1.923 4.009
0.362 -5.651 4.855
-1.636 -5.090 1.289
2.808 -2.350 4.037
0.816 -1.790 0.418
2.512 -5.512 1.286
```

* volume: 603.4 Å³ per cell
* density of states at the Fermi level: 2.63 states/eV/f.u.
* ΔE_f: -118.0 kJ/mol of atoms

***

Tm2Th2Pt3 | PBE | relaxed

Structure (POSCAR):
```
Tm2Th2Pt3
1.0
-3.951 1.263 0.024
-4.587 -7.513 -1.163
-2.562 -1.389 9.874
Tm Th Pt
4 4 6
Cartesian
-3.205 -3.327 5.993
-7.895 -4.311 2.742
-6.044 -5.415 7.021
-5.056 -2.223 1.714
-2.328 -0.532 3.295
-8.772 -7.107 5.440
-5.069 -2.404 9.108
-6.031 -5.234 -0.373
-6.993 -8.390 7.340
-4.106 0.751 1.395
-3.447 -3.976 0.325
-7.653 -3.662 8.410
-6.268 -6.062 4.199
-4.832 -1.577 4.536
```

* volume: 360.1 Å³ per cell
* density of states at the Fermi level: 7.56 states/eV/f.u.
* ΔE_f: -100.1 kJ/mol of atoms

***

TmTh3Pt4 | PBE | relaxed

Structure (POSCAR):
```
TmTh3Pt4
1.0
7.171 0.044 0.000
-2.472 6.766 0.000
0.000 0.000 8.358
Tm Pt Th
2 8 6
Cartesian
5.379 0.033 7.303
1.793 0.011 1.055
6.547 1.727 5.230
2.976 1.686 7.340
2.961 1.705 3.128
6.561 1.708 1.018
-1.863 5.102 7.340
1.738 5.105 5.230
1.723 5.124 1.018
-1.848 5.083 3.128
5.379 0.033 3.112
1.793 0.011 5.246
4.142 3.416 5.248
4.142 3.416 1.036
0.557 3.394 3.111
0.557 3.394 7.322
```

* volume: 406.5 Å³ per cell
* density of states at the Fermi level: 3.63 states/eV/f.u.
* ΔE_f: -117.3 kJ/mol of atoms

***

TmThPt2 | PBE | relaxed

Structure (POSCAR):
```
TmThPt2
1.0
4.693 0.000 0.000
0.000 5.612 -2.023
0.000 -0.694 7.229
Tm Th Pt
2 2 4
Cartesian
3.520 4.150 1.286
1.173 0.768 3.920
1.173 1.540 0.335
3.520 3.378 4.871
1.173 4.475 -0.397
3.520 0.443 5.603
3.520 1.482 2.383
1.173 3.436 2.823
```

* offset from the most stable computed form: 49 meV/atom
* volume: 183.8 Å³ per cell
* density of states at the Fermi level: 2.70 states/eV/f.u.
* ΔE_f: -114.4 kJ/mol of atoms

***

ThU2Pt9 | PBE | relaxed

Structure (POSCAR):
```
ThU2Pt9
1.0
-2.778 1.188 2.902
-3.134 -1.179 -2.517
0.310 -11.519 5.011
Th U Pt
1 2 9
Cartesian
0.000 0.000 0.000
0.104 -3.871 1.684
0.206 -7.649 3.327
-2.956 0.004 0.192
-2.852 -3.849 1.868
-2.750 -7.662 3.527
-1.336 -1.365 2.303
-1.234 -5.166 3.956
-1.132 -8.967 5.610
-1.514 -2.548 -0.407
-1.412 -6.349 1.247
-1.310 -10.150 2.900
```

* volume: 220.5 Å³ per cell
* density of states at the Fermi level: 14.03 states/eV/f.u.
* ΔE_f: -80.6 kJ/mol of atoms

***

Th2U2Pt15 | PBE | relaxed

Structure (POSCAR):
```
Th2U2Pt15
1.0
-1.449 -6.916 0.807
-0.965 -1.648 -6.851
6.491 -2.569 -1.357
Th U Pt
2 2 15
Cartesian
1.443 -3.940 -2.619
2.634 -7.192 -4.781
0.350 -0.956 -0.636
3.727 -10.176 -6.765
-0.724 -3.458 0.404
3.246 -1.284 -0.679
-0.483 -0.824 -3.425
1.432 -1.944 -5.084
-1.294 -5.222 -1.655
3.938 -3.966 -0.661
-1.121 -3.342 -4.388
1.104 -5.518 0.111
4.094 -2.273 -3.123
3.404 -3.898 -5.274
-0.537 -6.056 -4.200
3.164 -6.513 -1.473
0.673 -7.234 -2.126
4.614 -5.076 -3.201
0.913 -4.619 -5.927
```

* volume: 349.5 Å³ per cell
* density of states at the Fermi level: 21.42 states/eV/f.u.
* ΔE_f: -67.9 kJ/mol of atoms

***

ThUPt | PBE | relaxed

Structure (POSCAR):
```
ThUPt
1.0
5.497 2.182 0.116
2.155 5.507 0.116
-4.368 -4.389 5.409
U Pt Th
2 2 2
Cartesian
3.494 3.511 4.472
-0.209 -0.210 1.170
0.792 0.796 3.591
2.492 2.505 2.050
-1.672 -1.680 4.425
4.956 4.980 1.216
```

* volume: 141.7 Å³ per cell
* density of states at the Fermi level: 5.06 states/eV/f.u.
* ΔE_f: -53.2 kJ/mol of atoms